# 1
SiOs2W: optimized geometry, GGA-PBEsol.

* symmetry: Imm2 (44)
* formation energy without anion corrections: -0.06 eV per atom
* volume: 13.89 Å³/atom

```
SiOs2W
1.0
-1.451 2.187 4.376
1.451 -2.187 4.376
1.451 2.187 -4.376
Si Os W
1 2 1
direct
0.000 0.000 0.000
0.507 0.507 0.000
0.781 0.281 0.500
0.234 0.734 0.500
```


# 2
Si2OsW: optimized geometry, GGA-PBEsol.

* symmetry: P4mm (99)
* formation energy without anion corrections: 0.11 eV per atom
* volume: 14.60 Å³/atom

```
Si2OsW
1.0
2.773 0.000 0.000
0.000 2.773 0.000
0.000 0.000 7.593
Si Os W
2 1 1
direct
0.000 0.000 0.000
0.500 0.500 0.295
0.500 0.500 0.786
0.000 0.000 0.544
```